{"formula": "PrDyPCl", "functional": "PBE", "state": "relaxed", "cell": [[4.011, -0.001, 0.000], [-2.005, 3.474, 0.000], [-2.005, -1.157, 7.146]], "species": ["Dy", "Pr", "P", "Cl"], "frac_coords": [[0.110, 0.953, 0.078], [0.494, 0.145, 0.655], [0.316, 0.556, 0.887], [0.958, 0.377, 0.350]], "spacegroup": "R3m (160)", "m_tot_mub_per_cell": 0.00, "formation_energy_uncorrected_mev_per_atom": -1565}